Entry 1:
VASP calculation (PBE) on CdFeCl14 after structural relaxation.

Calculated values
- E_form (uncorrected): -0.34 eV/atom
- M_tot: 0.244 μB per atom

Geometry as extended XYZ:
```
16
Lattice="-0.1999 -5.9133 -9.0320 1.0118 -7.6238 4.6268 -6.8065 9.2185 4.2749" Properties=species:S:1:pos:R:3 pbc="T T T"
Cd 0.3253 -6.9108 -0.9013
Fe -6.1654 2.8904 -0.7628
Cl -3.0989 -2.4406 0.0728
Cl -4.3583 -1.0971 -5.4456
Cl -0.2442 -7.6658 -3.5252
Cl -3.9855 1.0235 6.1680
Cl -3.3267 -3.7119 4.1876
Cl -0.7977 -6.7310 3.2172
Cl -5.6857 1.5220 -2.3141
Cl -2.2702 -1.2225 -4.8087
Cl -6.5198 4.7479 2.9430
Cl -0.7675 -4.7523 -5.1654
Cl -4.4844 0.9187 3.6702
Cl -0.3793 -5.5692 1.5819
Cl -2.4574 -0.6571 0.8503
Cl -3.7413 -4.8931 -0.8102
```

=====

Entry 2:
VASP calculation (PBE) on CaCdIN2 after structural relaxation.

Calculated values
- E_form (uncorrected): 1.01 eV/atom
- M_tot: 0.793 μB per atom

Geometry as extended XYZ:
```
5
Lattice="-2.3116 3.4294 -2.3632 -1.0047 -3.0822 -3.4899 -5.4862 -1.6223 3.0122" Properties=species:S:1:pos:R:3 pbc="T T T"
I -2.7431 -0.8112 1.5061
Ca 0.0000 0.0000 0.0000
N -0.5024 -1.5411 -1.7450
N -1.1558 1.7147 -1.1816
Cd -4.4013 -0.6375 -1.4205
```

=====

Entry 3:
VASP calculation (PBE) on LiCuNi2B after structural relaxation.

Calculated values
- Energy of formation from the pure elements: -0.068 eV/atom
- M_tot: 0.000 μB per atom

Geometry as extended XYZ:
```
5
Lattice="-3.6485 -0.6306 0.8678 0.3933 -3.6487 -0.9974 1.0430 -0.9062 3.7266" Properties=species:S:1:pos:R:3 pbc="T T T"
Ni 0.1967 -1.8243 -0.4987
Ni -1.8242 -0.3153 0.4339
B 0.0000 0.0000 0.0000
Cu 0.5215 -0.4531 1.8633
Li -1.1061 -2.5927 1.7985
```

=====

Entry 4:
VASP calculation (PBE) on K2InRu after structural relaxation.

Calculated values
- Energy of formation from the pure elements: 0.813 eV/atom
- M_tot: 0.373 μB per atom

Geometry as extended XYZ:
```
4
Lattice="3.0851 0.0000 0.0000 0.0000 3.0851 0.0000 0.0000 0.0000 11.5596" Properties=species:S:1:pos:R:3 pbc="T T T"
In 1.5425 1.5425 8.6697
K 0.0000 0.0000 0.3122
K 0.0000 0.0000 5.4676
Ru 1.5425 1.5425 2.8899
```

=====

Entry 5:
VASP calculation (PBE) on DyHo2Sc4 after structural relaxation.

Calculated values
- Energy of formation from the pure elements: 0.172 eV/atom
- M_tot: 0.000 μB per atom

Geometry as extended XYZ:
```
7
Lattice="5.2294 0.0000 0.0000 0.0000 3.5988 0.0000 0.0000 -1.7994 10.4725" Properties=species:S:1:pos:R:3 pbc="T T T"
Dy 0.0000 1.7994 0.0000
Ho 2.6147 0.0000 1.5434
Ho 2.6147 1.7994 8.9291
Sc 2.6147 1.7994 4.1310
Sc 0.0000 1.7994 6.6980
Sc 2.6147 0.0000 6.3414
Sc 0.0000 0.0000 3.7745
```

=====

Entry 6:
VASP calculation (PBE) on CsRb2Ge2Cl7 after structural relaxation.

Calculated values
- E_form (uncorrected): -1.43 eV/atom
- M_tot: 0.000 μB per atom

Geometry as extended XYZ:
```
12
Lattice="5.4168 0.0208 0.0205 0.0274 5.4167 0.0205 2.7057 2.7024 13.6378" Properties=species:S:1:pos:R:3 pbc="T T T"
Cs 0.0000 0.0000 0.0000
Rb 5.4559 5.4492 4.9962
Rb 2.6940 2.6907 8.6826
Ge 5.4869 5.4802 10.8749
Ge 2.6630 2.6597 2.8040
Cl 2.7221 2.7188 0.0205
Cl 2.7015 2.6982 5.3992
Cl 5.4483 5.4417 8.2796
Cl 5.6395 2.7619 2.7941
Cl 2.7688 5.6361 2.7941
Cl 5.3811 2.5038 10.8848
Cl 2.5104 5.3780 10.8848
```

=====

| no. | Fermi-level density of states (states/eV/cell) |
| --- | --- |
| 1 | 6.89 |
| 2 | 3.80 |
| 3 | 2.13 |
| 4 | 2.38 |
| 5 | 11.93 |
| 6 | 0.00 |